Material: Ac2CeTl3
Method: DFT, GGA-PBE
State: optimized geometry

The value obtained for the formation energy is -0.810 eV per formula unit. The value obtained for the offset from the most stable computed form is 159 meV/atom. The total moment comes out at 2.50 Bohr magnetons per cell. For the total DFT energy (no corrections), the calculation gives -3.677 eV per atom.

a b c (Å): 15.299 15.299 7.231
angles (deg): 90.00 90.00 165.24
Positions (direct):
Ac1 0.011 0.989 0.750
Ac2 0.159 0.841 0.250
Ac3 0.841 0.159 0.750
Ac4 0.989 0.011 0.250
Ce1 0.339 0.661 0.250
Ce2 0.661 0.339 0.750
Tl1 0.247 0.753 0.750
Tl2 0.423 0.577 0.530
Tl3 0.423 0.577 0.970
Tl4 0.577 0.423 0.030
Tl5 0.577 0.423 0.470
Tl6 0.753 0.247 0.250